A plane-wave DFT calculation with GGA-PBEsol was carried out for KPtSe3 after structural relaxation.

Results
Crystal system   cubic
E_form (uncorrected)   1.7781 eV/atom

Cell lengths 5.284, 5.284, 5.284 Å; angles 90.00, 90.00, 90.00 degrees
Sites, in units of the cell vectors:
K  0.000  0.000  0.000
Pt  0.500  0.500  0.500
Se  0.000  0.000  0.500
Se  0.000  0.500  0.000
Se  0.500  0.000  0.000



A plane-wave DFT calculation with GGA-PBEsol was carried out for BaMnRh2 after structural relaxation.

Results
Crystal system   tetragonal
ΔE_f   0.55 eV per atom

Cell lengths 4.509, 4.509, 3.681 Å; angles 90.00, 90.00, 90.00 degrees
Sites, in units of the cell vectors:
Ba  0.000  0.000  0.000
Mn  0.500  0.500  0.000
Rh  0.000  0.500  0.500
Rh  0.500  0.000  0.500



Number 1: DOS(E_F) 1.985 states/eV per atom. Number 2: DOS(E_F) 1.044 states/eV per atom.